[1]
{
  "formula": "LiAcPt",
  "functional": "GGA-PBE",
  "state": "optimized geometry",
  "spacegroup": "No. 216",
  "magnetic_moment_mub_per_cell": 0.00,
  "lattice": [[0.000, 3.472, 3.472], [3.472, 0.000, 3.472], [3.472, 3.472, 0.000]],
  "species": ["Li", "Ac", "Pt"],
  "fractional_positions": [[0.000, 0.000, 0.000], [0.500, 0.500, 0.500], [0.750, 0.750, 0.750]]
}

[2]
{
  "formula": "LiAcPu",
  "functional": "GGA-PBE",
  "state": "optimized geometry",
  "spacegroup": "No. 216",
  "magnetic_moment_mub_per_cell": 6.47,
  "lattice": [[0.000, 3.696, 3.696], [3.696, 0.000, 3.696], [3.696, 3.696, 0.000]],
  "species": ["Li", "Ac", "Pu"],
  "fractional_positions": [[0.000, 0.000, 0.000], [0.250, 0.250, 0.250], [0.500, 0.500, 0.500]]
}

[3]
{
  "formula": "LiAcPu",
  "functional": "GGA-PBE",
  "state": "optimized geometry",
  "spacegroup": "No. 216",
  "magnetic_moment_mub_per_cell": 7.03,
  "lattice": [[0.000, 3.700, 3.700], [3.700, 0.000, 3.700], [3.700, 3.700, 0.000]],
  "species": ["Li", "Ac", "Pu"],
  "fractional_positions": [[0.000, 0.000, 0.000], [0.250, 0.250, 0.250], [0.750, 0.750, 0.750]]
}

[4]
{
  "formula": "LiAcRe",
  "functional": "GGA-PBE",
  "state": "optimized geometry",
  "spacegroup": "No. 216",
  "magnetic_moment_mub_per_cell": 1.34,
  "lattice": [[0.000, 3.255, 3.255], [3.255, 0.000, 3.255], [3.255, 3.255, 0.000]],
  "species": ["Li", "Ac", "Re"],
  "fractional_positions": [[0.000, 0.000, 0.000], [0.750, 0.750, 0.750], [0.250, 0.250, 0.250]]
}

[5]
{
  "formula": "LiAcSm",
  "functional": "GGA-PBE",
  "state": "optimized geometry",
  "spacegroup": "No. 216",
  "magnetic_moment_mub_per_cell": 0.07,
  "lattice": [[0.000, 3.758, 3.758], [3.758, 0.000, 3.758], [3.758, 3.758, 0.000]],
  "species": ["Li", "Ac", "Sm"],
  "fractional_positions": [[0.000, 0.000, 0.000], [0.750, 0.750, 0.750], [0.250, 0.250, 0.250]]
}

[6]
{
  "formula": "LiAcTc",
  "functional": "GGA-PBE",
  "state": "optimized geometry",
  "spacegroup": "No. 216",
  "magnetic_moment_mub_per_cell": 1.26,
  "lattice": [[0.000, 3.261, 3.261], [3.261, 0.000, 3.261], [3.261, 3.261, 0.000]],
  "species": ["Li", "Ac", "Tc"],
  "fractional_positions": [[0.000, 0.000, 0.000], [0.750, 0.750, 0.750], [0.250, 0.250, 0.250]]
}

no.,total energy (eV/atom)
1,-4.685
2,-5.856
3,-6.146
4,-5.093
5,-3.132
6,-4.663